Density functional theory data (PBE+U) for RbZnCoF6 after structural relaxation.

The structure in CIF format:
```
data_RbZnCoF6
_symmetry_space_group_name_H-M 'P 1'
_symmetry_Int_Tables_number 1
_cell_length_a 7.2389
_cell_length_b 7.2389
_cell_length_c 7.2389
_cell_angle_alpha 120.15
_cell_angle_beta 119.92
_cell_angle_gamma 89.94
loop_
_symmetry_equiv_pos_as_xyz
'x,y,z'
loop_
_atom_site_label
_atom_site_type_symbol
_atom_site_fract_x
_atom_site_fract_y
_atom_site_fract_z
Rb1 Rb 0.3773 0.1273 0.2500
Rb2 Rb 0.6227 0.8727 0.7500
Zn1 Zn 0.0000 0.0000 0.5000
Zn2 Zn 0.0000 0.5000 0.0000
Co1 Co 0.0000 0.5000 0.5000
Co2 Co 0.5000 0.5000 0.0000
F1 F 0.0834 0.8334 0.2500
F2 F 0.0867 0.4384 0.2780
F3 F 0.0867 0.8086 0.6483
F4 F 0.3070 0.5570 0.7500
F5 F 0.3397 0.1914 0.7780
F6 F 0.3397 0.5616 0.1483
F7 F 0.6603 0.4384 0.8517
F8 F 0.6603 0.8086 0.2220
F9 F 0.6930 0.4430 0.2500
F10 F 0.9133 0.1914 0.3517
F11 F 0.9133 0.5616 0.7220
F12 F 0.9166 0.1666 0.7500
```

Output
* magnetization: 0.1 μB per cell
* DFT total energy: -4.314 eV per atom
* density of states at the Fermi level: 0.00 states/eV per cell